[1]
Material: CeTh2HgN
Method: DFT, PBE
State: optimized geometry

```
CeTh2HgN
1.0
-4.902 0.434 -0.449
-0.072 -3.942 -3.030
-0.624 -2.999 3.917
Ce Th Hg N
1 2 1 1
Direct
0.500 0.000 0.000
0.000 0.000 0.500
0.000 0.500 0.000
0.500 0.500 0.500
0.000 0.000 0.000
```


[2]
Material: TmAlZn3Ag
Method: DFT, PBE
State: optimized geometry

```
TmAlZn3Ag
1.0
5.832 0.000 0.000
0.000 6.120 0.000
0.000 -3.060 6.401
Tm Al Zn Ag
2 2 6 2
Direct
0.750 0.306 0.611
0.250 0.694 0.389
0.250 0.919 0.837
0.750 0.081 0.163
0.250 0.129 0.259
0.000 0.300 0.000
0.500 0.700 0.000
0.500 0.300 0.000
0.000 0.700 0.000
0.750 0.871 0.741
0.250 0.338 0.676
0.750 0.662 0.324
```


[3]
Material: LaPrSmCo
Method: DFT, PBE
State: optimized geometry

```
LaPrSmCo
1.0
-1.222 3.045 -1.619
-3.325 0.555 3.550
7.166 0.231 3.297
La Pr Sm Co
1 1 1 1
Direct
0.748 0.313 0.189
0.553 0.966 0.495
0.926 0.652 0.867
0.384 0.132 0.826
```


Number 1: uncorrected energy -6.59 eV/atom. Number 2: uncorrected energy -2.53 eV/atom. Number 3: uncorrected energy -5.35 eV/atom.